Here is a relaxed LiCuCl2 crystal from the Alexandria database. Energies are from PBE.

a = 3.8750 Å, b = 3.8750 Å, c = 18.7266 Å
α = 90.00°, β = 90.00°, γ = 120.00°
With the nearest neighbours (Å) after each atom.
Space group R3m (No. 160, hexagonal axes)
Unique sites:
Li1 0.0000 0.0000 0.0000 (multiplicity 3)  4 Cl 2.36-2.40
Cu1 0.0000 0.0000 0.5004 (multiplicity 3)  4 Cl 2.35-2.36
Cl1 0.0000 0.0000 0.1283 (multiplicity 3)  3 Cu 2.35, 1 Li 2.40
Cl2 0.0000 0.0000 0.6262 (multiplicity 3)  1 Cu 2.36, 3 Li 2.36

Formation energy without anion corrections ... -25.5 kcal/mol of atoms
Total magnetic moment ... 0.00 μB per formula unit